Entry 1:
Cs2NiAuI6 | PBE | optimized geometry

Fermi-level density of states in states/eV/atom: 0.84
ΔE_f (raw) in meV per atom: -644
Magnetization in μB/f.u.: 0.880
Volume in Å³ per atom: 41.15

Cell and atoms, written as POSCAR:
```
Cs2NiAuI6
1.0
-4.1488 4.1488 5.9769
4.1488 -4.1488 5.9769
4.1488 4.1488 -5.9769
Cs Ni Au I
2 1 1 6
direct
0.2500 0.7500 0.5000 Cs
0.7500 0.2500 0.5000 Cs
0.0000 0.0000 0.0000 Ni
0.5000 0.5000 0.0000 Au
0.2190 0.2190 0.4380 I
0.2190 0.7810 0.0000 I
0.2783 0.2783 0.0000 I
0.7217 0.7217 0.0000 I
0.7810 0.2190 0.0000 I
0.7810 0.7810 0.5620 I
```

---

Entry 2:
CsNpAuI6 | PBE | optimized geometry

Fermi-level density of states in states/eV/atom: 0.56
ΔE_f (raw) in meV per atom: -770
Magnetization in μB/f.u.: 3.000
Volume in Å³ per atom: 54.29

Cell and atoms, written as POSCAR:
```
CsNpAuI6
1.0
7.6269 0.0000 0.0000
0.9585 7.9404 0.0000
3.7678 -0.0268 8.0678
Cs Np Au I
1 1 1 6
direct
0.0000 0.0000 0.0000 Cs
0.6725 0.4998 0.6502 Np
0.3054 0.4991 0.3830 Au
0.0061 0.6869 0.3778 I
0.3337 0.3589 0.9114 I
0.4361 0.8079 0.6113 I
0.6099 0.3108 0.3771 I
0.7506 0.6423 0.9129 I
0.9477 0.1917 0.6121 I
```

---

Entry 3:
Cs2NpAuI6 | PBE | optimized geometry

Fermi-level density of states in states/eV/atom: 0.58
ΔE_f (raw) in meV per atom: -959
Magnetization in μB/f.u.: 4.000
Volume in Å³ per atom: 45.34

Cell and atoms, written as POSCAR:
```
Cs2NpAuI6
1.0
8.6187 0.0000 0.0000
-4.3094 7.4641 0.0000
0.0000 0.0000 7.0481
Cs Np Au I
2 1 1 6
direct
0.3333 0.6667 0.2466 Cs
0.6667 0.3333 0.7534 Cs
0.0000 0.0000 0.0000 Np
0.0000 0.0000 0.5000 Au
0.1703 0.3406 0.7478 I
0.1703 0.8297 0.7478 I
0.3406 0.1703 0.2522 I
0.6594 0.8297 0.7478 I
0.8297 0.1703 0.2522 I
0.8297 0.6594 0.2522 I
```